[1]
# PBE LiSc3In4, relaxed
data_LiSc3In4
_cell_length_a 3.326
_cell_length_b 3.326
_cell_length_c 15.617
_cell_angle_alpha 90.00
_cell_angle_beta 90.00
_cell_angle_gamma 90.00
_symmetry_space_group_name_H-M 'P 1'
_symmetry_Int_Tables_number 1
loop_
_symmetry_equiv_pos_as_xyz
'x,y,z'
loop_
_atom_site_label
_atom_site_fract_x
_atom_site_fract_y
_atom_site_fract_z
Li1 0.000 0.000 0.000
Sc1 0.000 0.000 0.235
Sc2 0.000 0.000 0.500
Sc3 0.000 0.000 0.765
In1 0.500 0.500 0.104
In2 0.500 0.500 0.367
In3 0.500 0.500 0.633
In4 0.500 0.500 0.896
# ΔE_f, eV/atom: -0.398
# Energy, eV per cell: -35.1



[2]
# PBE Li4ScIn7, relaxed
data_Li4ScIn7
_cell_length_a 6.423
_cell_length_b 6.423
_cell_length_c 10.473
_cell_angle_alpha 119.18
_cell_angle_beta 119.18
_cell_angle_gamma 51.02
_symmetry_space_group_name_H-M 'P 1'
_symmetry_Int_Tables_number 1
loop_
_symmetry_equiv_pos_as_xyz
'x,y,z'
loop_
_atom_site_label
_atom_site_fract_x
_atom_site_fract_y
_atom_site_fract_z
Li1 0.071 0.071 0.274
Li2 0.212 0.212 0.813
Li3 0.788 0.788 0.187
Li4 0.929 0.929 0.726
Sc1 0.500 0.500 0.500
In1 0.000 0.000 0.500
In2 0.162 0.162 0.072
In3 0.286 0.286 0.584
In4 0.450 0.450 0.121
In5 0.550 0.550 0.879
In6 0.714 0.714 0.416
In7 0.838 0.838 0.928
# ΔE_f, eV/atom: -0.082
# Energy, eV per cell: -34.1



What is the formula in the first record?
LiSc3In4



Please write out number 2 again, unchanged.
# PBE Li4ScIn7, relaxed
data_Li4ScIn7
_cell_length_a 6.423
_cell_length_b 6.423
_cell_length_c 10.473
_cell_angle_alpha 119.18
_cell_angle_beta 119.18
_cell_angle_gamma 51.02
_symmetry_space_group_name_H-M 'P 1'
_symmetry_Int_Tables_number 1
loop_
_symmetry_equiv_pos_as_xyz
'x,y,z'
loop_
_atom_site_label
_atom_site_fract_x
_atom_site_fract_y
_atom_site_fract_z
Li1 0.071 0.071 0.274
Li2 0.212 0.212 0.813
Li3 0.788 0.788 0.187
Li4 0.929 0.929 0.726
Sc1 0.500 0.500 0.500
In1 0.000 0.000 0.500
In2 0.162 0.162 0.072
In3 0.286 0.286 0.584
In4 0.450 0.450 0.121
In5 0.550 0.550 0.879
In6 0.714 0.714 0.416
In7 0.838 0.838 0.928
# ΔE_f, eV/atom: -0.082
# Energy, eV per cell: -34.1



Which value of ΔE_f does entry 1 give?
-0.398 eV/atom